{"formula": "Ba2BeRe", "functional": "meta-GGA SCAN", "state": "PBEsol geometry", "formation_enthalpy_0k_mev_per_atom": 1494, "space_group": "C2/m", "magmom_total_mub_per_cell": 0.00, "rho_g_cm3": 7.2, "dft_energy_ev_per_atom": -37.144, "lattice": [[4.5197, -1.5152, 0.0000], [4.5197, 1.5152, 0.0000], [-0.5670, 0.0000, 7.8817]], "species": ["Ba", "Ba", "Be", "Re"], "frac_coords": [[0.2493, 0.2493, 0.2582], [0.7507, 0.7507, 0.7418], [0.5000, 0.5000, 0.0000], [0.0000, 0.0000, 0.5000]]}